A plane-wave DFT calculation with PBE was carried out for crystalline Ca2PuCd at its relaxed geometry.

Values from the calculation:
As for the formation energy: 0.042 eV per atom. As for the final energy: -4.7703 eV/atom.

Cell and atoms, written as CIF:
```
data_Ca2PuCd
_chemical_formula_sum 'Ca2 Pu1 Cd1'
_symmetry_space_group_name_H-M 'P 4/m m m'
_symmetry_Int_Tables_number 123
_symmetry_space_group_name_Hall '-P 4 2'
_cell_length_a 3.635
_cell_length_b 3.635
_cell_length_c 9.493
_cell_angle_alpha 90.00
_cell_angle_beta 90.00
_cell_angle_gamma 90.00
loop_
_atom_site_label
_atom_site_fract_x
_atom_site_fract_y
_atom_site_fract_z
_atom_site_occupancy
Ca1 0.000 0.000 0.215 1
Pu1 0.500 0.500 0.500 1
Cd1 0.500 0.500 0.000 1
```

A plane-wave DFT calculation with PBE was carried out for crystalline CaPuCdRh at its relaxed geometry.

Values from the calculation:
As for the formation energy: -0.155 eV per atom. As for the final energy: -6.3050 eV/atom.

Cell and atoms, written as CIF:
```
data_CaPuCdRh
_chemical_formula_sum 'Ca4 Pu4 Cd4 Rh4'
_symmetry_space_group_name_H-M 'F -4 3 m'
_symmetry_Int_Tables_number 216
_symmetry_space_group_name_Hall 'F -4 2 3'
_cell_length_a 7.215
_cell_length_b 7.215
_cell_length_c 7.215
_cell_angle_alpha 90.00
_cell_angle_beta 90.00
_cell_angle_gamma 90.00
loop_
_atom_site_label
_atom_site_fract_x
_atom_site_fract_y
_atom_site_fract_z
_atom_site_occupancy
Ca1 0.000 0.000 0.000 1
Pu1 0.000 0.000 0.500 1
Cd1 0.250 0.250 0.750 1
Rh1 0.250 0.250 0.250 1
```

A plane-wave DFT calculation with PBE was carried out for crystalline CaPuCdSb at its relaxed geometry.

Values from the calculation:
The value obtained for the uncorrected formation energy is -0.41 eV per atom. As for the final energy: -5.7522 eV/atom.

Cell and atoms, written as CIF:
```
data_CaPuCdSb
_chemical_formula_sum 'Ca4 Pu4 Cd4 Sb4'
_symmetry_space_group_name_H-M 'F -4 3 m'
_symmetry_Int_Tables_number 216
_symmetry_space_group_name_Hall 'F -4 2 3'
_cell_length_a 7.636
_cell_length_b 7.636
_cell_length_c 7.636
_cell_angle_alpha 90.00
_cell_angle_beta 90.00
_cell_angle_gamma 90.00
loop_
_atom_site_label
_atom_site_fract_x
_atom_site_fract_y
_atom_site_fract_z
_atom_site_occupancy
Ca1 0.000 0.000 0.000 1
Pu1 0.000 0.000 0.500 1
Cd1 0.250 0.250 0.250 1
Sb1 0.250 0.250 0.750 1
```

A plane-wave DFT calculation with PBE was carried out for crystalline CaPuCdSn at its relaxed geometry.

Values from the calculation:
As for the formation energy: -0.330 eV per atom. As for the final energy: -5.6426 eV/atom.

Cell and atoms, written as CIF:
```
data_CaPuCdSn
_chemical_formula_sum 'Ca4 Pu4 Cd4 Sn4'
_symmetry_space_group_name_H-M 'F -4 3 m'
_symmetry_Int_Tables_number 216
_symmetry_space_group_name_Hall 'F -4 2 3'
_cell_length_a 7.643
_cell_length_b 7.643
_cell_length_c 7.643
_cell_angle_alpha 90.00
_cell_angle_beta 90.00
_cell_angle_gamma 90.00
loop_
_atom_site_label
_atom_site_fract_x
_atom_site_fract_y
_atom_site_fract_z
_atom_site_occupancy
Ca1 0.000 0.000 0.000 1
Pu1 0.000 0.000 0.500 1
Cd1 0.250 0.250 0.250 1
Sn1 0.250 0.250 0.750 1
```

A plane-wave DFT calculation with PBE was carried out for crystalline CaPuTlCd at its relaxed geometry.

Values from the calculation:
As for the formation energy: -0.160 eV per atom. As for the final energy: -5.0642 eV/atom.

Cell and atoms, written as CIF:
```
data_CaPuTlCd
_chemical_formula_sum 'Ca4 Pu4 Tl4 Cd4'
_symmetry_space_group_name_H-M 'F -4 3 m'
_symmetry_Int_Tables_number 216
_symmetry_space_group_name_Hall 'F -4 2 3'
_cell_length_a 7.683
_cell_length_b 7.683
_cell_length_c 7.683
_cell_angle_alpha 90.00
_cell_angle_beta 90.00
_cell_angle_gamma 90.00
loop_
_atom_site_label
_atom_site_fract_x
_atom_site_fract_y
_atom_site_fract_z
_atom_site_occupancy
Ca1 0.000 0.000 0.000 1
Pu1 0.000 0.000 0.500 1
Tl1 0.250 0.250 0.750 1
Cd1 0.250 0.250 0.250 1
```

A plane-wave DFT calculation with PBE was carried out for crystalline RbCa2Cd at its relaxed geometry.

Values from the calculation:
As for the formation energy: 0.346 eV per atom. As for the final energy: -1.1254 eV/atom.

Cell and atoms, written as CIF:
```
data_RbCa2Cd
_chemical_formula_sum 'Rb4 Ca8 Cd4'
_symmetry_space_group_name_H-M 'I -4 2 d'
_symmetry_Int_Tables_number 122
_symmetry_space_group_name_Hall 'I -4 2bw'
_cell_length_a 7.370
_cell_length_b 7.370
_cell_length_c 19.530
_cell_angle_alpha 90.00
_cell_angle_beta 90.00
_cell_angle_gamma 90.00
loop_
_atom_site_label
_atom_site_fract_x
_atom_site_fract_y
_atom_site_fract_z
_atom_site_occupancy
Rb1 0.000 0.000 0.000 1
Ca1 0.017 0.250 0.625 1
Cd1 0.000 0.000 0.500 1
```